No. 1
Below is crystalline NaIn2GaOs at its relaxed geometry, with properties calculated at the PBE level.

Energy of formation (eV/atom): 0.014

abc: 5.204 5.204 4.878
angles: 90.00 90.00 90.00
Space group P4/mmm (No. 123)
Symmetry-distinct sites (fractional):
Na: 0.000 0.000 0.000 [1 per cell]
In: 0.000 0.500 0.500 [2 per cell]
Ga: 0.500 0.500 0.000 [1 per cell]
Os: 0.500 0.500 0.500 [1 per cell]


No. 2
Below is crystalline CeSmTePt at its relaxed geometry, with properties calculated at the PBE level.

Energy relative to the elements, uncorrected (kJ/mol of formula units): -470.8

abc: 4.2048 4.2048 22.6169
angles: 90.00 90.00 120.00
Space group R3m (No. 160, hexagonal axes)
Symmetry-distinct sites (fractional):
Ce: 0.0000 0.0000 0.0000 [3 per cell]
Sm: 0.0000 0.0000 0.4763 [3 per cell]
Te: 0.0000 0.0000 0.2376 [3 per cell]
Pt: 0.0000 0.0000 0.7362 [3 per cell]